#w
## Sr2Tl2I (PBE)

Data for Sr2Tl2I after structural relaxation.

The structure in POSCAR format:
```
Sr2Tl2I
1.0
-2.2614 -6.1307 -6.9306
9.1273 -2.6505 -0.6336
-0.6588 -2.9423 2.8177
Sr Tl I
4 4 2
direct
0.6861 0.8139 0.5000 Sr
0.1861 0.6861 0.5000 Sr
0.8139 0.3139 0.5000 Sr
0.3139 0.1861 0.5000 Sr
0.1135 0.3865 0.0000 Tl
0.8865 0.6135 0.0000 Tl
0.6135 0.1135 0.0000 Tl
0.3865 0.8865 0.0000 Tl
0.0000 0.0000 0.0000 I
0.5000 0.5000 0.0000 I
```

Symmetry: No. 127

#x
## Sr2Tl2I (PBE)

Data for Sr2Tl2I after structural relaxation.

The structure in POSCAR format:
```
Sr2Tl2I
1.0
9.3972 0.0000 0.0000
0.0000 9.3972 0.0000
0.0000 0.0000 4.4158
Sr I Tl
4 2 4
direct
0.8149 0.6851 0.0000 Sr
0.1851 0.3149 0.0000 Sr
0.3149 0.8149 0.0000 Sr
0.6851 0.1851 0.0000 Sr
0.5000 0.5000 0.0000 I
0.0000 0.0000 0.0000 I
0.8862 0.3862 0.5000 Tl
0.1138 0.6138 0.5000 Tl
0.3862 0.1138 0.5000 Tl
0.6138 0.8862 0.5000 Tl
```

Symmetry: No. 127

The data favor #x; the next most stable structure lies 5.5 kJ/mol of atoms above it.

#w
## Sr3Tl5I12 (PBE)

Data for Sr3Tl5I12 after structural relaxation.

The structure in POSCAR format:
```
Sr3Tl5I12
1.0
-2.5873 -0.7568 -4.0760
10.2425 -9.1296 -4.8065
-11.0713 -5.0376 7.9630
I Sr Tl
12 3 5
direct
0.5000 0.4530 0.1920 I
0.0000 0.1676 0.1676 I
0.5000 0.8080 0.2610 I
0.0000 0.0000 0.8324 I
0.5000 0.1920 0.4530 I
0.0000 0.4681 0.4681 I
0.0000 0.0000 0.5319 I
0.5000 0.5470 0.7390 I
0.0000 0.8324 0.0000 I
0.5000 0.7390 0.5470 I
0.5000 0.2610 0.8080 I
0.0000 0.5319 0.0000 I
0.5000 0.0000 0.6808 Sr
0.5000 0.6808 0.0000 Sr
0.5000 0.3192 0.3192 Sr
0.0000 0.3333 0.6667 Tl
0.0000 0.7059 0.7059 Tl
0.0000 0.2941 0.0000 Tl
0.0000 0.0000 0.2941 Tl
0.0000 0.6667 0.3333 Tl
```

Symmetry: No. 189

#x
## Sr3Tl5I12 (PBE)

Data for Sr3Tl5I12 after structural relaxation.

The structure in POSCAR format:
```
Sr3Tl5I12
1.0
17.2181 0.0000 0.0000
-5.7394 16.2334 0.0000
-5.7394 -8.1167 14.0585
I Tl Sr
48 20 12
direct
0.5972 0.7294 0.6695 I
0.6322 0.0598 0.2294 I
0.9402 0.3678 0.2706 I
0.0598 0.4277 0.8305 I
0.9277 0.8305 0.5598 I
0.3305 0.5598 0.4277 I
0.2294 0.6695 0.0972 I
0.5598 0.3305 0.9277 I
0.9277 0.0972 0.8678 I
0.1322 0.4028 0.0723 I
0.0972 0.9277 0.3678 I
0.6695 0.4402 0.5723 I
0.0972 0.1695 0.2294 I
0.4028 0.1322 0.5723 I
0.8678 0.2706 0.4402 I
0.4277 0.0598 0.3305 I
0.5723 0.6322 0.4028 I
0.2706 0.4028 0.8305 I
0.6322 0.5723 0.9028 I
0.1695 0.0972 0.7294 I
0.2294 0.5598 0.6322 I
0.5598 0.2294 0.1322 I
0.8678 0.5972 0.9277 I
0.7706 0.3305 0.9028 I
0.2706 0.8678 0.9402 I
0.3305 0.7706 0.4028 I
0.4402 0.7706 0.8678 I
0.0598 0.6322 0.7294 I
0.1695 0.0723 0.9402 I
0.0723 0.9028 0.1322 I
0.0723 0.1695 0.4402 I
0.4277 0.3678 0.5972 I
0.5972 0.8678 0.4277 I
0.9028 0.8305 0.7706 I
0.4402 0.6695 0.0723 I
0.8305 0.9277 0.0598 I
0.7706 0.4402 0.3678 I
0.6695 0.2294 0.5972 I
0.9402 0.5723 0.1695 I
0.8305 0.9028 0.2706 I
0.1322 0.7294 0.5598 I
0.7294 0.5972 0.1695 I
0.9028 0.0723 0.6322 I
0.3678 0.4277 0.0972 I
0.7294 0.1322 0.0598 I
0.4028 0.2706 0.3305 I
0.5723 0.9402 0.6695 I
0.3678 0.9402 0.7706 I
0.8750 0.2500 0.6250 Tl
0.1250 0.7500 0.3750 Tl
0.3750 0.2500 0.1250 Tl
0.6250 0.7500 0.8750 Tl
0.5000 0.0000 0.0000 Tl
0.5000 0.5000 0.0000 Tl
0.5000 0.0000 0.5000 Tl
0.8750 0.6250 0.7500 Tl
0.0000 0.5000 0.0000 Tl
0.0000 0.5000 0.5000 Tl
0.0000 0.0000 0.0000 Tl
0.6250 0.8750 0.2500 Tl
0.3750 0.1250 0.7500 Tl
0.2500 0.8750 0.1250 Tl
0.1250 0.3750 0.2500 Tl
0.7500 0.1250 0.8750 Tl
0.2500 0.3750 0.6250 Tl
0.7500 0.6250 0.3750 Tl
0.0000 0.0000 0.5000 Tl
0.5000 0.5000 0.5000 Tl
0.3750 0.6250 0.2500 Sr
0.6250 0.2500 0.3750 Sr
0.2500 0.1250 0.3750 Sr
0.1250 0.2500 0.8750 Sr
0.3750 0.7500 0.6250 Sr
0.1250 0.8750 0.7500 Sr
0.7500 0.8750 0.6250 Sr
0.7500 0.3750 0.1250 Sr
0.6250 0.3750 0.7500 Sr
0.8750 0.1250 0.2500 Sr
0.2500 0.6250 0.8750 Sr
0.8750 0.7500 0.1250 Sr
```

Symmetry: No. 230

The data favor #w; the next most stable structure lies 9.5 kJ/mol of atoms above it.